A plane-wave DFT calculation with PBE with a Hubbard U was carried out for a relaxed structure of NaWOF2.

```
NaWOF2
1.0
3.818 0.000 0.000
0.000 3.818 0.000
0.000 0.000 4.344
Na O W F
1 1 1 2
direct
0.000 0.000 0.000
0.000 0.000 0.500
0.500 0.500 0.500
0.000 0.500 0.000
0.500 0.000 0.000
```

Computed properties:
As for the space group: P4/mmm (123). The calculation puts the energy above the lowest structure with this stoichiometry at 1208 meV/atom.